A plane-wave DFT calculation with GGA-PBEsol was carried out for a relaxed LaCrCo crystal.

Lattice parameters (Å, degrees): 2.9903 2.9903 6.0055 104.43 104.43 89.96
Last column: nearest neighbours and their distance in Å.
Fractional coordinates of all 3 atoms:
Cr 0.3750 0.3750 0.7500  4 Co 2.32
Co 0.9593 0.9593 0.9186  4 Cr 2.32
La 0.6657 0.6657 0.3314  4 La 2.99, 5 Co 3.14-3.30, 5 Cr 3.16-3.27

Energy of formation from the pure elements in meV/atom: 429
Symmetry: No. 107
Crystal system: tetragonal

A plane-wave DFT calculation with GGA-PBEsol was carried out for a relaxed Na2ErPWO8 crystal.

Lattice parameters (Å, degrees): 6.8126 11.3461 11.3461 63.75 72.53 72.53
Last column: nearest neighbours and their distance in Å.
Fractional coordinates of all 52 atoms:
O 0.5952 0.3924 0.8468  1 W 1.80
O 0.7703 0.3977 0.1412  1 W 1.78
O 0.7297 0.8588 0.6023  1 W 1.78
O 0.3271 0.9411 0.9221  1 P 1.54
O 0.0665 0.3579 0.6550  1 P 1.55
O 0.1908 0.8977 0.6412  1 W 1.78
O 0.8098 0.4221 0.4411  1 P 1.54
O 0.8092 0.1023 0.3588  1 W 1.78
O 0.5665 0.6550 0.3579  1 P 1.55
O 0.6729 0.0589 0.0779  1 P 1.54
O 0.1729 0.0779 0.0589  1 P 1.54
O 0.0952 0.8468 0.3924  1 W 1.80
O 0.2297 0.6023 0.8588  1 W 1.78
O 0.9335 0.6421 0.3450  1 P 1.55
O 0.3098 0.4411 0.4221  1 P 1.54
O 0.2703 0.1412 0.3977  1 W 1.78
O 0.3344 0.1076 0.6532  1 W 1.80
O 0.4048 0.6076 0.1532  1 W 1.80
O 0.4335 0.3450 0.6421  1 P 1.55
O 0.5794 0.1421 0.8450  1 P 1.55
O 0.8271 0.9221 0.9411  1 P 1.54
O 0.9206 0.1550 0.8579  1 P 1.55
O 0.9048 0.1532 0.6076  1 W 1.80
O 0.6908 0.6412 0.8977  1 W 1.78
O 0.8344 0.6532 0.1076  1 W 1.80
O 0.6902 0.5589 0.5779  1 P 1.54
O 0.4206 0.8579 0.1550  1 P 1.55
O 0.3092 0.3588 0.1023  1 W 1.78
O 0.6656 0.8924 0.3468  1 W 1.80
O 0.1902 0.5779 0.5589  1 P 1.54
O 0.0794 0.8450 0.1421  1 P 1.55
O 0.1656 0.3468 0.8924  1 W 1.80
Na 0.6601 0.9013 0.7900  3 O 2.27-2.45
Na 0.6486 0.2900 0.4013  3 O 2.27-2.45
Na 0.1601 0.7900 0.9013  3 O 2.27-2.45
Na 0.8399 0.2100 0.0987  3 O 2.27-2.45
Na 0.3514 0.7100 0.5987  3 O 2.27-2.45
Na 0.1486 0.4013 0.2900  3 O 2.27-2.45
Na 0.3399 0.0987 0.2100  3 O 2.27-2.45
Na 0.8514 0.5987 0.7100  3 O 2.27-2.45
W 0.8239 0.9261 0.4261  4 O 1.78-1.80
W 0.1761 0.0739 0.5739  4 O 1.78-1.80
W 0.3239 0.4261 0.9261  4 O 1.78-1.80
W 0.6761 0.5739 0.0739  4 O 1.78-1.80
P 0.7500 0.0675 0.9325  4 O 1.54-1.55
P 0.2500 0.9325 0.0675  4 O 1.54-1.55
P 0.2500 0.4325 0.5675  4 O 1.54-1.55
P 0.7500 0.5675 0.4325  4 O 1.54-1.55
Er 0.2500 0.1793 0.8207  8 O 2.23-2.39
Er 0.7500 0.3207 0.6793  8 O 2.23-2.39
Er 0.2500 0.6793 0.3207  8 O 2.23-2.39
Er 0.7500 0.8207 0.1793  8 O 2.23-2.39

Energy relative to the elements, uncorrected in eV/atom: -2.55
Symmetry: No. 73
Crystal system: orthorhombic

A plane-wave DFT calculation with GGA-PBEsol was carried out for a relaxed TlBiTe2 crystal.

Lattice parameters (Å, degrees): 7.2526 7.2526 7.2526 107.16 110.64 110.64
Last column: nearest neighbours and their distance in Å.
Fractional coordinates of all 8 atoms:
Tl 0.0000 0.5000 0.5000  4 Te 3.22
Tl 0.5000 0.2500 0.7500  4 Te 3.22
Te 0.9805 0.8750 0.3555  2 Bi 3.01, 2 Tl 3.22
Te 0.4805 0.1055 0.1250  2 Bi 3.01, 2 Tl 3.22
Te 0.5195 0.6445 0.6250  2 Bi 3.01, 2 Tl 3.22
Te 0.0195 0.3750 0.8945  2 Bi 3.01, 2 Tl 3.22
Bi 0.0000 0.0000 0.0000  4 Te 3.01
Bi 0.5000 0.7500 0.2500  4 Te 3.01

Energy relative to the elements, uncorrected in eV/atom: -0.03
Symmetry: No. 122
Crystal system: tetragonal

A plane-wave DFT calculation with GGA-PBEsol was carried out for a relaxed Ta10SeS3 crystal.

Lattice parameters (Å, degrees): 3.2928 3.2928 21.8399 90.00 90.00 90.00
Last column: nearest neighbours and their distance in Å.
Fractional coordinates of all 14 atoms:
Ta 0.0000 0.0000 0.8405  4 S 2.52
Ta 0.5000 0.5000 0.3525  4 S 2.52
Ta 0.5000 0.5000 0.5045  8 Ta 2.83
Ta 0.0000 0.0000 0.1442  4 Se 2.64, 4 Ta 2.87
Ta 0.5000 0.5000 0.9205  1 S 2.71, 8 Ta 2.83-2.91
Ta 0.0000 0.0000 0.9942  8 Ta 2.83
Ta 0.0000 0.0000 0.5783  1 S 2.70, 8 Ta 2.83-2.91
Ta 0.5000 0.5000 0.6583  4 S 2.52
Ta 0.0000 0.0000 0.4312  1 S 2.67, 8 Ta 2.83-2.89
Ta 0.5000 0.5000 0.0676  8 Ta 2.83-2.87, 1 Se 2.91
Se 0.5000 0.5000 0.2008  5 Ta 2.64-2.91
S 0.0000 0.0000 0.3087  5 Ta 2.52-2.67
S 0.5000 0.5000 0.7966  5 Ta 2.52-2.71
S 0.0000 0.0000 0.7021  5 Ta 2.52-2.70

Energy relative to the elements, uncorrected in eV/atom: -0.52
Symmetry: No. 99
Crystal system: tetragonal

A plane-wave DFT calculation with GGA-PBEsol was carried out for a relaxed Ti5Sb3 crystal.

Lattice parameters (Å, degrees): 7.0880 8.2845 10.0479 90.00 90.00 90.00
Last column: nearest neighbours and their distance in Å.
Fractional coordinates of all 32 atoms:
Sb 0.0621 0.0067 0.6792  9 Ti 2.75-2.93
Sb 0.4379 0.0067 0.1792  9 Ti 2.75-2.93
Sb 0.5918 0.2500 0.5297  8 Ti 2.70-2.88
Sb 0.4379 0.4933 0.1792  9 Ti 2.75-2.93
Sb 0.5621 0.9933 0.8208  9 Ti 2.75-2.93
Sb 0.5621 0.5067 0.8208  9 Ti 2.75-2.93
Sb 0.9082 0.2500 0.0297  8 Ti 2.70-2.88
Sb 0.4082 0.7500 0.4703  8 Ti 2.70-2.88
Sb 0.0621 0.4933 0.6792  9 Ti 2.75-2.93
Sb 0.9379 0.5067 0.3208  9 Ti 2.75-2.93
Sb 0.0918 0.7500 0.9703  8 Ti 2.70-2.88
Sb 0.9379 0.9933 0.3208  9 Ti 2.75-2.93
Ti 0.8195 0.7500 0.7826  5 Sb 2.70-2.93, 2 Ti 2.92
Ti 0.7969 0.5619 0.0515  5 Sb 2.71-2.92, 2 Ti 2.78-2.92
Ti 0.5204 0.2500 0.9964  5 Sb 2.77-2.79, 3 Ti 2.78-2.96
Ti 0.3195 0.2500 0.7174  5 Sb 2.70-2.93, 2 Ti 2.92
Ti 0.6818 0.2500 0.2676  6 Sb 2.71-2.88, 1 Ti 2.96
Ti 0.7031 0.9380 0.5515  5 Sb 2.71-2.92, 2 Ti 2.78-2.92
Ti 0.8182 0.2500 0.7676  6 Sb 2.71-2.88, 1 Ti 2.96
Ti 0.2031 0.4380 0.9485  5 Sb 2.71-2.92, 2 Ti 2.78-2.92
Ti 0.6805 0.7500 0.2826  5 Sb 2.70-2.93, 2 Ti 2.92
Ti 0.1805 0.2500 0.2174  5 Sb 2.70-2.93, 2 Ti 2.92
Ti 0.7969 0.9380 0.0515  5 Sb 2.71-2.92, 2 Ti 2.78-2.92
Ti 0.2969 0.4380 0.4485  5 Sb 2.71-2.92, 2 Ti 2.78-2.92
Ti 0.0204 0.7500 0.5036  5 Sb 2.77-2.79, 3 Ti 2.78-2.96
Ti 0.2031 0.0620 0.9485  5 Sb 2.71-2.92, 2 Ti 2.78-2.92
Ti 0.7031 0.5619 0.5515  5 Sb 2.71-2.92, 2 Ti 2.78-2.92
Ti 0.3182 0.7500 0.7324  6 Sb 2.71-2.88, 1 Ti 2.96
Ti 0.4796 0.7500 0.0036  5 Sb 2.77-2.79, 3 Ti 2.78-2.96
Ti 0.9796 0.2500 0.4964  5 Sb 2.77-2.79, 3 Ti 2.78-2.96
Ti 0.2969 0.0620 0.4485  5 Sb 2.71-2.92, 2 Ti 2.78-2.92
Ti 0.1818 0.7500 0.2324  6 Sb 2.71-2.88, 1 Ti 2.96

Energy relative to the elements, uncorrected in eV/atom: -0.55
Symmetry: No. 62
Crystal system: orthorhombic

A plane-wave DFT calculation with GGA-PBEsol was carried out for a relaxed SrSi crystal.

Lattice parameters (Å, degrees): 4.4838 4.4838 6.0814 111.63 111.63 90.00
Last column: nearest neighbours and their distance in Å.
Fractional coordinates of all 4 atoms:
Sr 0.7500 0.2500 0.5000  8 Si 3.17-3.43, 4 Sr 3.43
Sr 0.5000 0.5000 0.0000  8 Si 3.17-3.43, 4 Sr 3.43
Si 0.2500 0.7500 0.5000  8 Sr 3.17-3.43, 4 Si 3.43
Si 0.0000 0.0000 0.0000  8 Sr 3.17-3.43, 4 Si 3.43

Energy relative to the elements, uncorrected in eV/atom: 0.02
Symmetry: No. 141
Crystal system: tetragonal